Record 1
First-principles (GGA-PBE) data for a geometry-optimized TbTm12Th5 structure, as listed in Alexandria.

a b c (Å): 12.3833 12.3833 3.6460
angles (deg): 90.00 90.00 90.61
Sites, in units of the cell vectors:
Tb  0.0000  0.0000  0.0000
Tm  0.0021  0.6640  0.0000
Tm  0.1649  0.5023  0.5000
Tm  0.1665  0.8335  0.5000
Tm  0.3290  0.6710  0.0000
Tm  0.3360  0.9979  0.0000
Tm  0.4977  0.8351  0.5000
Tm  0.5023  0.1649  0.5000
Tm  0.6640  0.0021  0.0000
Tm  0.6710  0.3290  0.0000
Tm  0.8335  0.1665  0.5000
Tm  0.8351  0.4977  0.5000
Tm  0.9979  0.3360  0.0000
Th  0.1677  0.1677  0.5000
Th  0.3323  0.3323  0.0000
Th  0.5000  0.5000  0.5000
Th  0.6677  0.6677  0.0000
Th  0.8323  0.8323  0.5000

Results
M_tot ... 0.00 μB/f.u.
Crystal system ... orthorhombic
Uncorrected energy ... -5.172 eV per atom
ΔH_f (0 K) ... 2.29 eV per formula unit

***

Record 2
First-principles (GGA-PBE) data for a geometry-optimized CrFeAs2 structure, as listed in Alexandria.

a b c (Å): 3.3671 3.3671 5.1210
angles (deg): 90.00 90.00 90.00
Sites, in units of the cell vectors:
Cr  0.0000  0.0000  0.0000
Fe  0.5000  0.5000  0.3346
As  0.0000  0.0000  0.4864
As  0.5000  0.5000  0.8516

Results
M_tot ... 4.05 μB/f.u.
Crystal system ... tetragonal
Uncorrected energy ... -6.877 eV per atom
Energy relative to the lowest polymorph listed for this composition ... 173 meV per atom
ΔH_f (0 K) ... -0.12 eV per formula unit

***

Record 3
First-principles (GGA-PBE) data for a geometry-optimized Th4SnGeSe2 structure, as listed in Alexandria.

a b c (Å): 7.3517 4.3453 7.6155
angles (deg): 90.00 109.74 90.00
Sites, in units of the cell vectors:
Th  0.2411  0.0000  0.2341
Th  0.2521  0.5000  0.7633
Th  0.7479  0.5000  0.2367
Th  0.7589  0.0000  0.7659
Sn  0.5000  0.5000  0.5000
Ge  0.5000  0.0000  0.0000
Se  0.0000  0.0000  0.5000
Se  0.0000  0.5000  0.0000

Results
M_tot ... 0.00 μB/f.u.
Crystal system ... monoclinic
Formation energy from raw total energies ... -8.85 eV/f.u.
Uncorrected energy ... -6.765 eV per atom

***

Record 4
First-principles (GGA-PBE) data for a geometry-optimized CaNdInPt structure, as listed in Alexandria.

a b c (Å): 7.3985 7.3985 7.3985
angles (deg): 90.00 90.00 90.00
Sites, in units of the cell vectors:
Ca  0.0000  0.0000  0.0000
Ca  0.0000  0.5000  0.5000
Ca  0.5000  0.0000  0.5000
Ca  0.5000  0.5000  0.0000
Nd  0.0000  0.0000  0.5000
Nd  0.0000  0.5000  0.0000
Nd  0.5000  0.0000  0.0000
Nd  0.5000  0.5000  0.5000
In  0.2500  0.2500  0.2500
In  0.2500  0.7500  0.7500
In  0.7500  0.2500  0.7500
In  0.7500  0.7500  0.2500
Pt  0.2500  0.2500  0.7500
Pt  0.2500  0.7500  0.2500
Pt  0.7500  0.2500  0.2500
Pt  0.7500  0.7500  0.7500

Results
M_tot ... 0.00 μB/f.u.
Crystal system ... cubic
Uncorrected energy ... -4.542 eV per atom
ΔH_f (0 K) ... -2.62 eV per formula unit

***

Record 5
First-principles (GGA-PBE) data for a geometry-optimized Mn2ZnFeB structure, as listed in Alexandria.

a b c (Å): 4.5000 4.5000 4.3974
angles (deg): 90.00 90.00 90.00
Sites, in units of the cell vectors:
Mn  0.0000  0.5000  0.0000
Mn  0.5000  0.0000  0.0000
Zn  0.0000  0.0000  0.0000
Fe  0.0000  0.0000  0.5000
B  0.5000  0.5000  0.5000

Results
M_tot ... 10.31 μB/f.u.
Crystal system ... tetragonal
Uncorrected energy ... -5.203 eV per atom
ΔH_f (0 K) ... 8.74 eV per formula unit

***

Record 6
First-principles (GGA-PBE) data for a geometry-optimized ZnGaAu2 structure, as listed in Alexandria.

a b c (Å): 3.8411 3.8411 18.0318
angles (deg): 90.00 90.00 120.00
Sites, in units of the cell vectors:
Zn  0.0000  0.0000  0.0000
Zn  0.3333  0.6667  0.6667
Zn  0.6667  0.3333  0.3333
Ga  0.0000  0.0000  0.8304
Ga  0.3333  0.6667  0.4971
Ga  0.6667  0.3333  0.1638
Au  0.0000  0.0000  0.4143
Au  0.0000  0.0000  0.5840
Au  0.3333  0.6667  0.0810
Au  0.3333  0.6667  0.2506
Au  0.6667  0.3333  0.7476
Au  0.6667  0.3333  0.9173

Results
M_tot ... 0.00 μB/f.u.
Crystal system ... trigonal
Uncorrected energy ... -2.822 eV per atom
ΔH_f (0 K) ... -0.43 eV per formula unit

***

Record 7
First-principles (GGA-PBE) data for a geometry-optimized ReH2Os structure, as listed in Alexandria.

a b c (Å): 5.2927 5.2927 5.2927
angles (deg): 90.00 90.00 90.00
Sites, in units of the cell vectors:
Re  0.0000  0.0000  0.0000
Re  0.0000  0.5000  0.5000
Re  0.5000  0.0000  0.5000
Re  0.5000  0.5000  0.0000
H  0.2500  0.2500  0.2500
H  0.2500  0.2500  0.7500
H  0.2500  0.7500  0.2500
H  0.2500  0.7500  0.7500
H  0.7500  0.2500  0.2500
H  0.7500  0.2500  0.7500
H  0.7500  0.7500  0.2500
H  0.7500  0.7500  0.7500
Os  0.0000  0.0000  0.5000
Os  0.0000  0.5000  0.0000
Os  0.5000  0.0000  0.0000
Os  0.5000  0.5000  0.5000

Results
M_tot ... 0.00 μB/f.u.
Crystal system ... cubic
Uncorrected energy ... -6.437 eV per atom
Energy relative to the lowest polymorph listed for this composition ... 692 meV per atom

***

Record 8
First-principles (GGA-PBE) data for a geometry-optimized SiH2SBr structure, as listed in Alexandria.

a b c (Å): 3.7174 3.7174 5.4398
angles (deg): 90.00 90.00 90.00
Sites, in units of the cell vectors:
Si  0.0000  0.0000  0.0000
H  0.0000  0.5000  0.0000
H  0.5000  0.0000  0.0000
S  0.5000  0.5000  0.5000
Br  0.0000  0.0000  0.5000

Results
M_tot ... 0.00 μB/f.u.
Crystal system ... tetragonal
Uncorrected energy ... -3.019 eV per atom

***

Record 9
First-principles (GGA-PBE) data for a geometry-optimized CeTc2B6 structure, as listed in Alexandria.

a b c (Å): 4.9798 4.9798 4.7081
angles (deg): 106.87 106.87 62.75
Sites, in units of the cell vectors:
Ce  0.0000  0.0000  0.0000
Tc  0.3306  0.3306  0.0810
Tc  0.6694  0.6694  0.9190
B  0.0213  0.3765  0.6202
B  0.3314  0.6686  0.5000
B  0.3765  0.0213  0.6202
B  0.6235  0.9787  0.3798
B  0.6686  0.3314  0.5000
B  0.9787  0.6235  0.3798

Results
M_tot ... 0.00 μB/f.u.
Crystal system ... monoclinic
Uncorrected energy ... -7.511 eV per atom
Energy relative to the lowest polymorph listed for this composition ... 426 meV per atom
ΔH_f (0 K) ... -0.87 eV per formula unit

***

Record 10
First-principles (GGA-PBE) data for a geometry-optimized NdGe2Pd4 structure, as listed in Alexandria.

a b c (Å): 17.3968 4.2794 6.7623
angles (deg): 90.00 90.00 90.00
Sites, in units of the cell vectors:
Nd  0.1399  0.2500  0.0216
Nd  0.3601  0.7500  0.5216
Nd  0.6399  0.2500  0.4784
Nd  0.8601  0.7500  0.9784
Ge  0.0420  0.7500  0.2654
Ge  0.2161  0.2500  0.5462
Ge  0.2839  0.7500  0.0462
Ge  0.4580  0.2500  0.7654
Ge  0.5420  0.7500  0.2346
Ge  0.7161  0.2500  0.9538
Ge  0.7839  0.7500  0.4538
Ge  0.9580  0.2500  0.7346
Pd  0.0267  0.7500  0.8557
Pd  0.0713  0.2500  0.5024
Pd  0.1869  0.7500  0.3337
Pd  0.2004  0.7500  0.7455
Pd  0.2996  0.2500  0.2455
Pd  0.3131  0.2500  0.8337
Pd  0.4287  0.7500  0.0024
Pd  0.4733  0.2500  0.3557
Pd  0.5267  0.7500  0.6443
Pd  0.5713  0.2500  0.9976
Pd  0.6869  0.7500  0.1663
Pd  0.7004  0.7500  0.7545
Pd  0.7996  0.2500  0.2545
Pd  0.8131  0.2500  0.6663
Pd  0.9287  0.7500  0.4976
Pd  0.9733  0.2500  0.1443

Results
M_tot ... 0.00 μB/f.u.
Crystal system ... orthorhombic
Uncorrected energy ... -5.636 eV per atom
Energy relative to the lowest polymorph listed for this composition ... 59 meV per atom
ΔH_f (0 K) ... -4.67 eV per formula unit

***

Record 11
First-principles (GGA-PBE) data for a geometry-optimized Tb5Dy7Er structure, as listed in Alexandria.

a b c (Å): 8.6495 8.6495 8.6495
angles (deg): 134.80 100.28 96.71
Sites, in units of the cell vectors:
Tb  0.0000  0.0000  0.0000
Tb  0.2294  0.2714  0.4959
Tb  0.2294  0.7335  0.9580
Tb  0.7754  0.2714  0.0420
Tb  0.7754  0.7335  0.5041
Dy  0.0814  0.2516  0.8298
Dy  0.4217  0.2516  0.1702
Dy  0.5003  0.5003  0.0000
Dy  0.5012  0.0012  0.5000
Dy  0.5804  0.7511  0.8293
Dy  0.8074  0.3074  0.5000
Dy  0.9218  0.7511  0.1707
Er  0.1945  0.6945  0.5000

Results
M_tot ... 0.00 μB/f.u.
Crystal system ... orthorhombic
Uncorrected energy ... -4.351 eV per atom
ΔH_f (0 K) ... 3.37 eV per formula unit

***

Record 12
First-principles (GGA-PBE) data for a geometry-optimized HoSb2 structure, as listed in Alexandria.

a b c (Å): 3.9925 3.9925 9.9282
angles (deg): 90.00 90.00 90.00
Sites, in units of the cell vectors:
Ho  0.0000  0.0000  0.0000
Ho  0.5000  0.5000  0.5000
Sb  0.0000  0.0000  0.3455
Sb  0.0000  0.0000  0.6545
Sb  0.5000  0.5000  0.1545
Sb  0.5000  0.5000  0.8455

Results
M_tot ... 0.00 μB/f.u.
Crystal system ... tetragonal
Formation energy from raw total energies ... -1.89 eV/f.u.
Uncorrected energy ... -4.904 eV per atom

***

Record 13
First-principles (GGA-PBE) data for a geometry-optimized YCdAs2Br structure, as listed in Alexandria.

a b c (Å): 5.5687 5.5687 5.4728
angles (deg): 90.00 90.00 90.00
Sites, in units of the cell vectors:
Y  0.0000  0.0000  0.0000
Cd  0.5000  0.5000  0.5000
As  0.0000  0.5000  0.0000
As  0.5000  0.0000  0.0000
Br  0.0000  0.0000  0.5000

Results
M_tot ... 1.04 μB/f.u.
Crystal system ... tetragonal
Formation energy from raw total energies ... -0.32 eV/f.u.
Uncorrected energy ... -3.735 eV per atom
Energy relative to the lowest polymorph listed for this composition ... 0 meV per atom

***

Record 14
First-principles (GGA-PBE) data for a geometry-optimized NbAl5Co6 structure, as listed in Alexandria.

a b c (Å): 6.5010 6.5010 5.7745
angles (deg): 90.00 90.00 143.09
Sites, in units of the cell vectors:
Nb  0.0000  0.0000  0.0000
Al  0.0000  0.0000  0.5000
Al  0.3310  0.6690  0.0000
Al  0.3339  0.6661  0.5000
Al  0.6661  0.3339  0.5000
Al  0.6690  0.3310  0.0000
Co  0.1677  0.8323  0.2535
Co  0.1677  0.8323  0.7465
Co  0.5000  0.5000  0.2551
Co  0.5000  0.5000  0.7449
Co  0.8323  0.1677  0.2535
Co  0.8323  0.1677  0.7465

Results
M_tot ... 2.15 μB/f.u.
Crystal system ... orthorhombic
Uncorrected energy ... -6.474 eV per atom
ΔH_f (0 K) ... -6.27 eV per formula unit

***

Record 15
First-principles (GGA-PBE) data for a geometry-optimized LiTa2Re structure, as listed in Alexandria.

a b c (Å): 3.1807 4.5888 9.4639
angles (deg): 90.00 90.00 90.00
Sites, in units of the cell vectors:
Li  0.0000  0.0000  0.0000
Li  0.5000  0.5000  0.0000
Ta  0.0000  0.5000  0.2672
Ta  0.0000  0.5000  0.7328
Ta  0.5000  0.0000  0.2672
Ta  0.5000  0.0000  0.7328
Re  0.0000  0.0000  0.5000
Re  0.5000  0.5000  0.5000

Results
M_tot ... 0.00 μB/f.u.
Crystal system ... orthorhombic
Uncorrected energy ... -9.371 eV per atom
ΔH_f (0 K) ... 0.58 eV per formula unit

***

Record 16
First-principles (GGA-PBE) data for a geometry-optimized LiHgB3 structure, as listed in Alexandria.

a b c (Å): 3.9899 3.9899 3.9899
angles (deg): 90.00 90.00 90.00
Sites, in units of the cell vectors:
Li  0.0000  0.0000  0.0000
Hg  0.5000  0.5000  0.5000
B  0.0000  0.0000  0.5000
B  0.0000  0.5000  0.0000
B  0.5000  0.0000  0.0000

Results
M_tot ... 0.00 μB/f.u.
Crystal system ... cubic
Uncorrected energy ... -2.436 eV per atom
Energy relative to the lowest polymorph listed for this composition ... 0 meV per atom
ΔH_f (0 K) ... 10.07 eV per formula unit

***

Record 17
First-principles (GGA-PBE) data for a geometry-optimized TbGa4CuIr2 structure, as listed in Alexandria.

a b c (Å): 8.8018 8.8018 8.8018
angles (deg): 28.10 28.10 28.10
Sites, in units of the cell vectors:
Tb  0.0000  0.0000  0.0000
Ga  0.1313  0.1313  0.1313
Ga  0.3982  0.3982  0.3982
Ga  0.6018  0.6018  0.6018
Ga  0.8687  0.8687  0.8687
Cu  0.5000  0.5000  0.5000
Ir  0.2352  0.2352  0.2352
Ir  0.7648  0.7648  0.7648

Results
M_tot ... 0.00 μB/f.u.
Crystal system ... trigonal
Uncorrected energy ... -5.261 eV per atom
ΔH_f (0 K) ... -3.53 eV per formula unit

***

Record 18
First-principles (GGA-PBE) data for a geometry-optimized Sr3Tl2Zn2 structure, as listed in Alexandria.

a b c (Å): 4.3788 24.1476 4.0936
angles (deg): 90.00 90.00 90.00
Sites, in units of the cell vectors:
Sr  0.0000  0.0000  0.0000
Sr  0.0000  0.1651  0.0000
Sr  0.0000  0.8349  0.0000
Sr  0.5000  0.3349  0.0000
Sr  0.5000  0.5000  0.0000
Sr  0.5000  0.6651  0.0000
Tl  0.0000  0.4147  0.5000
Tl  0.0000  0.5853  0.5000
Tl  0.5000  0.0853  0.5000
Tl  0.5000  0.9147  0.5000
Zn  0.0000  0.2766  0.5000
Zn  0.0000  0.7234  0.5000
Zn  0.5000  0.2234  0.5000
Zn  0.5000  0.7766  0.5000

Results
M_tot ... 0.00 μB/f.u.
Crystal system ... orthorhombic
Uncorrected energy ... -2.086 eV per atom
ΔH_f (0 K) ... -2.28 eV per formula unit

***

Record 19
First-principles (GGA-PBE) data for a geometry-optimized K2LiAg structure, as listed in Alexandria.

a b c (Å): 9.7233 9.7233 6.7009
angles (deg): 90.00 90.00 90.00
Sites, in units of the cell vectors:
K  0.2117  0.7500  0.1250
K  0.2500  0.2117  0.8750
K  0.2500  0.2883  0.3750
K  0.2883  0.7500  0.6250
K  0.7117  0.2500  0.6250
K  0.7500  0.7117  0.3750
K  0.7500  0.7883  0.8750
K  0.7883  0.2500  0.1250
Li  0.0000  0.0000  0.5000
Li  0.0000  0.5000  0.7500
Li  0.5000  0.0000  0.2500
Li  0.5000  0.5000  0.0000
Ag  0.0000  0.0000  0.0000
Ag  0.0000  0.5000  0.2500
Ag  0.5000  0.0000  0.7500
Ag  0.5000  0.5000  0.5000

Results
M_tot ... 0.00 μB/f.u.
Crystal system ... tetragonal
Uncorrected energy ... -1.527 eV per atom
Energy relative to the lowest polymorph listed for this composition ... 171 meV per atom
ΔH_f (0 K) ... 0.85 eV per formula unit

***

Record 20
First-principles (GGA-PBE) data for a geometry-optimized In2BiCl6 structure, as listed in Alexandria.

a b c (Å): 6.7833 7.3106 7.5942
angles (deg): 61.26 80.37 69.62
Sites, in units of the cell vectors:
In  0.0012  0.3294  0.3407
In  0.9988  0.6706  0.6593
Bi  0.0000  0.0000  0.0000
Cl  0.2198  0.2552  0.0000
Cl  0.2434  0.9214  0.7011
Cl  0.2436  0.6228  0.2988
Cl  0.7564  0.3772  0.7012
Cl  0.7566  0.0786  0.2989
Cl  0.7802  0.7448  0.0000

Results
M_tot ... 0.00 μB/f.u.
Crystal system ... triclinic
Formation energy from raw total energies ... -7.58 eV/f.u.
Uncorrected energy ... -3.113 eV per atom
Energy relative to the lowest polymorph listed for this composition ... 38 meV per atom